Record 1
Here is a relaxed structure of Dy6SeS3N2 from the Alexandria database. Energies are from PBE-GGA.

It has space group C2/m (No. 12), with a = 16.615 Å, b = 3.745 Å, c = 7.741 Å, α = 90.00°, β = 103.57° and γ = 90.00°. The inequivalent atoms are Dy at (0.022, 0.000, 0.275), Dy at (0.175, 0.500, 0.129), Dy at (0.178, 0.500, 0.565), Se at (0.000, 0.500, 0.000), S at (0.000, 0.500, 0.500), S at (0.160, 0.000, 0.834) and N at (0.171, 0.000, 0.336).

---

Record 2
Here is a relaxed structure of Dy6Se3SN2 from the Alexandria database. Energies are from PBE-GGA.

It has space group C2/m (No. 12), with a = 6.547 Å, b = 11.328 Å, c = 6.893 Å, α = 90.00°, β = 108.45° and γ = 90.00°. The inequivalent atoms are Dy at (0.212, 0.000, 0.202), Dy at (0.247, 0.322, 0.206), Se at (0.000, 0.000, 0.500), Se at (0.000, 0.339, 0.500), S at (0.000, 0.500, 0.000) and N at (0.000, 0.167, 0.000).

---

Record 3
Here is a relaxed structure of Dy6Se3S2N from the Alexandria database. Energies are from PBE-GGA.

It has space group C2/m (No. 12), with a = 6.743 Å, b = 11.660 Å, c = 6.924 Å, α = 90.00°, β = 108.93° and γ = 90.00°. The inequivalent atoms are Dy at (0.224, 0.154, 0.210), Dy at (0.236, 0.000, 0.786), Se at (0.000, 0.172, 0.500), Se at (0.000, 0.500, 0.500), S at (0.000, 0.334, 0.000) and N at (0.000, 0.000, 0.000).

---

Record 4
Here is a relaxed structure of SmDySN from the Alexandria database. Energies are from PBE-GGA.

It has space group R3m (No. 160, hexagonal axes), with a = 3.6683 Å, b = 3.6683 Å, c = 19.1331 Å, α = 90.00°, β = 90.00° and γ = 120.00°. The inequivalent atoms are Sm at (0.0000, 0.0000, 0.0000), Dy at (0.0000, 0.0000, 0.4731), S at (0.0000, 0.0000, 0.2341) and N at (0.0000, 0.0000, 0.7408).

---

Record 5
Here is a relaxed structure of Dy4SnS2N from the Alexandria database. Energies are from PBE-GGA.

It has space group I-42m (No. 121), with a = 7.079 Å, b = 7.079 Å, c = 7.876 Å, α = 90.00°, β = 90.00° and γ = 90.00°. The inequivalent atoms are Dy at (0.183, 0.183, 0.335), Sn at (0.000, 0.000, 0.000), S at (0.000, 0.500, 0.250) and N at (0.000, 0.000, 0.500).

---

Record 6
Here is a relaxed structure of TbDySN from the Alexandria database. Energies are from PBE-GGA.

It has space group R3m (No. 160, hexagonal axes), with a = 3.6309 Å, b = 3.6309 Å, c = 18.8716 Å, α = 90.00°, β = 90.00° and γ = 120.00°. The inequivalent atoms are Tb at (0.0000, 0.0000, 0.0000), Dy at (0.0000, 0.0000, 0.5273), S at (0.0000, 0.0000, 0.7642) and N at (0.0000, 0.0000, 0.2627).

---

Number 1: E -6.83 eV/atom, M_tot 0.00 Bohr magnetons per cell, raw formation energy -1.822 eV per atom. Number 2: E -6.66 eV/atom, M_tot 0.00 Bohr magnetons per cell, raw formation energy -1.753 eV per atom. Number 3: E -6.37 eV/atom, M_tot 0.00 Bohr magnetons per cell, raw formation energy -1.816 eV per atom. Number 4: E -7.26 eV/atom, M_tot 0.00 Bohr magnetons per cell, raw formation energy -1.819 eV per atom. Number 5: E -6.26 eV/atom, M_tot 0.00 Bohr magnetons per cell, raw formation energy -1.384 eV per atom. Number 6: E -7.28 eV/atom, M_tot 0.00 Bohr magnetons per cell, raw formation energy -1.857 eV per atom.